# 1
ReAu, optimized geometry, DFT PBE; energy of formation = 0.57 eV/atom; E above lowest polymorph = 427 meV per atom
1.0
2.803 0.000 0.000
-1.402 2.428 0.000
0.000 0.000 4.764
Re Au
1 1
Cartesian
0.000 0.000 0.000 Re
0.000 1.618 2.382 Au

# 2
Ba6Pd2N, optimized geometry, DFT PBE; E above lowest polymorph = 0 meV per atom; E_form (uncorrected) = -0.37 eV per atom
1.0
7.542 0.000 0.000
0.000 8.479 0.000
-7.465 0.000 10.968
Ba Pd N
12 4 2
Cartesian
-0.967 0.352 2.560 Ba
-4.699 3.888 8.044 Ba
1.185 5.955 0.686 Ba
-2.547 6.763 6.170 Ba
2.267 1.334 0.723 Ba
-1.465 2.905 6.208 Ba
1.543 5.573 4.761 Ba
-2.189 7.145 10.245 Ba
2.625 1.716 4.798 Ba
-1.107 2.523 10.282 Ba
4.777 4.591 2.924 Ba
1.045 8.127 8.408 Ba
-3.396 0.919 8.244 Pd
0.336 3.321 2.760 Pd
-0.258 5.158 8.208 Pd
3.474 7.560 2.724 Pd
0.000 0.000 0.000 N
-3.732 4.239 5.484 N

# 3
BaAsPbSe2, optimized geometry, DFT PBE; E above lowest polymorph = 727 meV per atom; E_form (uncorrected) = 0.34 eV per atom
1.0
5.905 0.000 0.000
0.000 5.905 0.000
0.000 0.000 5.721
Ba As Pb Se
1 1 1 2
Cartesian
0.000 0.000 0.000 Ba
0.000 0.000 2.860 As
2.952 2.952 2.860 Pb
0.000 2.952 0.000 Se
2.952 0.000 0.000 Se

# 4
PrNdHg2, optimized geometry, DFT PBE; energy of formation = -0.47 eV/atom; E above lowest polymorph = 0 meV per atom
1.0
5.434 0.000 0.000
0.000 5.434 0.000
0.000 0.000 3.870
Pr Nd Hg
1 1 2
Cartesian
0.000 0.000 0.000 Pr
2.717 2.717 0.000 Nd
0.000 2.717 1.935 Hg
2.717 0.000 1.935 Hg

# 5
CsSc3Ta, optimized geometry, DFT PBE; energy of formation = 0.85 eV/atom; E above lowest polymorph = 0 meV per atom
1.0
5.458 0.000 0.000
0.000 5.458 0.000
0.000 0.000 5.458
Cs Sc Ta
1 3 1
Cartesian
0.000 0.000 0.000 Cs
0.000 2.729 2.729 Sc
2.729 0.000 2.729 Sc
2.729 2.729 0.000 Sc
2.729 2.729 2.729 Ta

# 6
MnCrHRh2, optimized geometry, DFT PBE; E above lowest polymorph = 7 meV per atom
1.0
3.864 0.000 0.000
0.000 3.864 0.000
0.000 0.000 3.799
Mn Cr H Rh
1 1 1 2
Cartesian
0.000 0.000 0.000 Mn
1.932 1.932 0.000 Cr
0.000 0.000 1.900 H
0.000 1.932 1.900 Rh
1.932 0.000 1.900 Rh

# 7
Ce2Nd3ErSe6, optimized geometry, DFT PBE; E_form (uncorrected) = -1.81 eV per atom
1.0
3.621 -6.281 0.000
3.621 6.281 0.000
-2.429 0.000 6.857
Ce Nd Er Se
2 3 1 6
Cartesian
3.621 4.196 0.000 Ce
3.621 -4.196 0.000 Ce
-1.214 0.000 3.429 Nd
2.407 2.122 3.429 Nd
2.407 -2.122 3.429 Nd
3.621 0.000 0.000 Er
0.020 2.046 5.202 Se
1.264 0.000 1.676 Se
0.020 -2.046 5.202 Se
4.794 2.046 1.655 Se
3.550 0.000 5.181 Se
4.794 -2.046 1.655 Se

# 8
EuPuCu2, optimized geometry, DFT PBE; energy of formation = 0.11 eV/atom; E above lowest polymorph = 66 meV per atom
1.0
7.094 0.000 0.000
0.000 7.094 0.000
0.000 0.000 7.094
Eu Pu Cu
4 4 8
Cartesian
0.000 0.000 0.000 Eu
0.000 3.547 3.547 Eu
3.547 0.000 3.547 Eu
3.547 3.547 0.000 Eu
0.000 0.000 3.547 Pu
0.000 3.547 0.000 Pu
3.547 0.000 0.000 Pu
3.547 3.547 3.547 Pu
1.774 1.774 1.774 Cu
1.774 1.774 5.321 Cu
1.774 5.321 1.774 Cu
1.774 5.321 5.321 Cu
5.321 1.774 1.774 Cu
5.321 1.774 5.321 Cu
5.321 5.321 1.774 Cu
5.321 5.321 5.321 Cu

# 9
AgGe3Cl, optimized geometry, DFT PBE; E above lowest polymorph = 161 meV per atom; E_form (uncorrected) = 0.79 eV per atom
1.0
4.957 0.000 0.000
0.000 4.957 0.000
0.000 0.000 4.957
Ag Ge Cl
1 3 1
Cartesian
0.000 0.000 0.000 Ag
0.000 2.478 2.478 Ge
2.478 0.000 2.478 Ge
2.478 2.478 0.000 Ge
2.478 2.478 2.478 Cl

# 10
Si2NiCl, optimized geometry, DFT PBE; E above lowest polymorph = 0 meV per atom; E_form (uncorrected) = -0.32 eV per atom
1.0
3.815 0.000 0.000
-1.907 3.305 0.000
-0.015 -0.073 6.710
Si Ni Cl
2 1 1
Cartesian
0.000 0.000 0.000 Si
-0.015 2.130 5.401 Si
1.893 1.029 5.878 Ni
0.000 0.001 2.078 Cl

# 11
Tm3Cu3Pd2, optimized geometry, DFT PBE; energy of formation = -0.53 eV/atom; E above lowest polymorph = 13 meV per atom
1.0
6.734 0.000 0.000
-3.367 5.832 0.000
0.000 0.000 3.921
Tm Cu Pd
3 3 2
Cartesian
-1.243 2.154 0.000 Tm
2.487 0.000 0.000 Tm
2.123 3.678 0.000 Tm
-2.613 4.525 1.961 Cu
0.754 1.307 1.961 Cu
5.225 0.000 1.961 Cu
0.000 3.888 1.961 Pd
3.367 1.944 1.961 Pd

# 12
SmInGaHg, optimized geometry, DFT PBE; energy of formation = -0.42 eV/atom; E above lowest polymorph = 0 meV per atom
1.0
4.472 0.000 0.000
0.000 4.504 0.000
0.000 0.000 4.697
Sm In Ga Hg
1 1 1 1
Cartesian
0.000 0.000 0.000 Sm
0.000 2.252 2.349 In
2.236 2.252 0.000 Ga
2.236 0.000 2.349 Hg

no.,ρ (g cm⁻³),E_tot (Ha/atom)
1,19.6,-0.2680
2,5.0,-0.1372
3,4.8,-0.1142
4,10.0,-0.1107
5,4.6,-0.2019
6,9.2,-0.2769
7,7.2,-0.2248
8,9.7,-0.2973
9,4.9,-0.1072
10,3.0,-0.1817
11,9.8,-0.1853
12,9.4,-0.1147